# Ce2Al4Zn3Cu

Ce2Al4Zn3Cu after structural relaxation (PBE, the Alexandria database).

Cell lengths 4.249, 4.249, 10.526 Å; angles 90.00, 90.00, 90.00 degrees
Atoms (fractional coordinates):
Ce  0.000  0.500  0.243
Ce  0.500  0.000  0.757
Al  0.000  0.000  0.500
Al  0.000  0.500  0.875
Al  0.500  0.000  0.125
Al  0.500  0.500  0.500
Zn  0.000  0.000  0.000
Zn  0.000  0.500  0.640
Zn  0.500  0.000  0.360
Cu  0.500  0.500  0.000

Summary:
* DOS(E_F): 12.26 states/eV/cell
* E_tot: -3.83 eV per atom
* energy of formation from the pure elements: -0.35 eV/atom